{
  "formula": "Sc2Ni3Pd",
  "functional": "PBE",
  "state": "optimized geometry",
  "total_magnetization_mub_per_cell": 0.00,
  "vol_a3_per_cell": 382.2,
  "e_form_mev_per_atom": -373,
  "space_group": "Fddd",
  "lattice_angstrom": [[0.000, 5.282, 7.509], [4.818, 0.000, 7.509], [4.818, 5.282, 0.000]],
  "species": ["Sc", "Sc", "Sc", "Sc", "Sc", "Sc", "Sc", "Sc", "Ni", "Ni", "Ni", "Ni", "Ni", "Ni", "Ni", "Ni", "Ni", "Ni", "Ni", "Ni", "Pd", "Pd", "Pd", "Pd"],
  "frac_coords": [[0.182, 0.254, 0.293], [0.229, 0.707, 0.746], [0.254, 0.182, 0.771], [0.293, 0.771, 0.182], [0.707, 0.229, 0.818], [0.746, 0.818, 0.229], [0.771, 0.293, 0.254], [0.818, 0.746, 0.707], [0.000, 0.000, 0.000], [0.000, 0.000, 0.500], [0.000, 0.500, 0.000], [0.100, 0.100, 0.650], [0.150, 0.600, 0.150], [0.350, 0.350, 0.900], [0.400, 0.850, 0.400], [0.500, 0.000, 0.000], [0.600, 0.150, 0.600], [0.650, 0.650, 0.100], [0.850, 0.400, 0.850], [0.900, 0.900, 0.350], [0.233, 0.517, 0.517], [0.483, 0.767, 0.767], [0.517, 0.233, 0.233], [0.767, 0.483, 0.483]]
}

{
  "formula": "HoZrFe2",
  "functional": "PBE",
  "state": "optimized geometry",
  "total_magnetization_mub_per_cell": 0.37,
  "vol_a3_per_cell": 68.1,
  "e_form_mev_per_atom": -2,
  "space_group": "P4/mmm",
  "lattice_angstrom": [[3.230, 0.000, 0.000], [0.000, 3.230, 0.000], [0.000, 0.000, 6.525]],
  "species": ["Ho", "Zr", "Fe", "Fe"],
  "frac_coords": [[0.000, 0.000, 0.000], [0.000, 0.000, 0.500], [0.500, 0.500, 0.272], [0.500, 0.500, 0.728]]
}

{
  "formula": "VCdAu",
  "functional": "PBE",
  "state": "optimized geometry",
  "total_magnetization_mub_per_cell": 0.00,
  "vol_a3_per_cell": 106.0,
  "e_form_mev_per_atom": 19,
  "space_group": "Cm",
  "polymorph_energy_mev_per_atom": 40.7,
  "lattice_angstrom": [[2.371, -1.598, 0.000], [2.371, 1.598, 0.000], [-0.570, 0.000, 13.991]],
  "species": ["V", "V", "Cd", "Cd", "Au", "Au"],
  "frac_coords": [[0.000, 0.000, 0.000], [0.515, 0.515, 0.129], [0.347, 0.347, 0.467], [0.726, 0.726, 0.663], [0.376, 0.376, 0.843], [0.931, 0.931, 0.286]]
}

{
  "formula": "TbNd4Er7",
  "functional": "PBE",
  "state": "optimized geometry",
  "total_magnetization_mub_per_cell": 0.00,
  "vol_a3_per_cell": 389.9,
  "e_form_mev_per_atom": 87,
  "space_group": "P-1",
  "polymorph_energy_mev_per_atom": 0.0,
  "lattice_angstrom": [[6.556, 0.000, 0.000], [1.019, 6.758, 0.000], [2.002, 0.561, 8.801]],
  "species": ["Tb", "Nd", "Nd", "Nd", "Nd", "Er", "Er", "Er", "Er", "Er", "Er", "Er"],
  "frac_coords": [[0.000, 0.000, 0.000], [0.165, 0.614, 0.308], [0.361, 0.192, 0.714], [0.639, 0.808, 0.286], [0.835, 0.386, 0.692], [0.000, 0.500, 0.000], [0.186, 0.105, 0.382], [0.319, 0.701, 0.644], [0.488, 0.248, 0.048], [0.512, 0.752, 0.952], [0.681, 0.299, 0.356], [0.814, 0.895, 0.618]]
}

{
  "formula": "RbLaMg2Si",
  "functional": "PBE",
  "state": "optimized geometry",
  "total_magnetization_mub_per_cell": 0.00,
  "vol_a3_per_cell": 227.1,
  "space_group": "P4/mmm",
  "e_form_raw_ev_per_atom": 0.595,
  "lattice_angstrom": [[6.410, 0.000, 0.000], [0.000, 6.410, 0.000], [0.000, 0.000, 5.528]],
  "species": ["Rb", "La", "Mg", "Mg", "Si"],
  "frac_coords": [[0.000, 0.000, 0.000], [0.500, 0.500, 0.500], [0.000, 0.500, 0.500], [0.500, 0.000, 0.500], [0.500, 0.500, 0.000]]
}

{
  "formula": "Er2Si4Ni3Pt",
  "functional": "PBE",
  "state": "optimized geometry",
  "total_magnetization_mub_per_cell": 0.00,
  "vol_a3_per_cell": 152.4,
  "space_group": "P-4m2",
  "e_form_raw_ev_per_atom": -0.912,
  "lattice_angstrom": [[3.972, 0.000, 0.000], [0.000, 3.972, 0.000], [0.000, 0.000, 9.660]],
  "species": ["Er", "Er", "Si", "Si", "Si", "Si", "Ni", "Ni", "Ni", "Pt"],
  "frac_coords": [[0.000, 0.500, 0.242], [0.500, 0.000, 0.758], [0.000, 0.000, 0.000], [0.000, 0.500, 0.642], [0.500, 0.000, 0.358], [0.500, 0.500, 0.000], [0.000, 0.500, 0.878], [0.500, 0.000, 0.122], [0.500, 0.500, 0.500], [0.000, 0.000, 0.500]]
}